An optimized crystal structure of TbPm3Th2N6. Source: Alexandria via LeMat-Bulk, functional GGA-PBE.

## Properties
The value obtained for the calculated volume is 16.7 Å³ per atom. Its raw formation energy is -1.5620 eV/atom. The value obtained for the total magnetization is 0.00 μB/atom. As for the density of states at the Fermi level: 1.82 states/eV per cell.

Unit cell a=6.263 b=6.263 c=6.254 alpha=99.59 beta=99.59 gamma=120.00
Atoms (fractional coordinates):
Tb: 0.000 0.000 0.000
Pm: 0.165 0.835 0.500
Pm: 0.835 0.165 0.500
Pm: 0.500 0.500 0.500
Th: 0.333 0.667 0.000
Th: 0.667 0.333 0.000
N: 0.920 0.587 0.761
N: 0.746 0.746 0.241
N: 0.080 0.413 0.239
N: 0.587 0.920 0.761
N: 0.254 0.254 0.759
N: 0.413 0.080 0.239